#i
A plane-wave DFT calculation with PBE was carried out for an optimized crystal structure of LiHfSc.

Properties
As for the space group: No. 156. The calculation puts the volume at 22.68 Å³/atom.

abc: 3.1217 3.1217 8.0634
angles: 90.00 90.00 120.00
Sites, in units of the cell vectors:
Li: 0.0000 0.0000 0.0047
Hf: 0.6667 0.3333 0.3438
Sc: 0.3333 0.6667 0.6515


#ii
A plane-wave DFT calculation with PBE was carried out for an optimized crystal structure of LiHfSc.

Properties
As for the space group: No. 160. The calculation puts the volume at 22.82 Å³/atom.

abc: 15.4174 15.4174 15.4174
angles: 11.97 11.97 11.97
Each line ends with the local moment (μB).
Sites, in units of the cell vectors:
Li: 0.4074 0.4074 0.4074  0.00
Sc: 0.7979 0.7979 0.7979  0.16
Sc: 0.1885 0.1885 0.1885  0.14
Hf: 0.2981 0.2981 0.2981  0.03
Hf: 0.9125 0.9125 0.9125  0.03
Li: 0.0197 0.0197 0.0197  0.00


Relative calculated energies, zero for the most stable structure, unit meV/atom: #i 63; #ii 0.


#i
A plane-wave DFT calculation with PBE was carried out for an optimized crystal structure of LiHfSc.

Properties
As for the space group: No. 8. The calculation puts the volume at 20.51 Å³/atom.

abc: 14.5848 5.7009 5.7009
angles: 130.51 148.60 31.40
Sites, in units of the cell vectors:
Li: 0.9940 0.7094 0.2906
Hf: 0.3242 0.6942 0.3058
Sc: 0.1307 0.2565 0.7435
Li: 0.8261 0.1616 0.8384
Hf: 0.6906 0.6169 0.3831
Sc: 0.5038 0.1680 0.8320


#ii
A plane-wave DFT calculation with PBE was carried out for an optimized crystal structure of LiHfSc.

Properties
As for the space group: No. 62. The calculation puts the volume at 20.57 Å³/atom.

abc: 5.8312 4.8083 8.8020
angles: 90.00 90.00 90.00
Sites, in units of the cell vectors:
Hf: 0.4781 0.2500 0.2915
Li: 0.8003 0.2500 0.8993
Sc: 0.3233 0.2500 0.9298
Li: 0.1997 0.7500 0.1007
Sc: 0.8233 0.2500 0.5702
Li: 0.3003 0.2500 0.6007
Hf: 0.0219 0.7500 0.7915
Sc: 0.1767 0.7500 0.4298
Sc: 0.6767 0.7500 0.0702
Hf: 0.5219 0.7500 0.7085
Li: 0.6997 0.7500 0.3993
Hf: 0.9781 0.2500 0.2085


#iii
A plane-wave DFT calculation with PBE was carried out for an optimized crystal structure of LiHfSc.

Properties
As for the space group: No. 8. The calculation puts the volume at 21.55 Å³/atom.

abc: 10.7731 8.2082 8.2082
angles: 157.86 149.87 30.13
Sites, in units of the cell vectors:
Li: 0.7299 0.7515 0.2485
Hf: 0.6375 0.1376 0.8624
Sc: 0.1727 0.2793 0.7207
Sc: 0.2330 0.5761 0.4239
Hf: 0.6974 0.4442 0.5558
Li: 0.1375 0.9688 0.0312


Relative calculated energies, zero for the most stable structure, unit meV/atom: #i 57; #ii 81; #iii 0.


#i
A plane-wave DFT calculation with PBE was carried out for an optimized crystal structure of Li2HfSc.

Properties
As for the space group: No. 122. The calculation puts the volume at 19.99 Å³/atom.

abc: 7.5902 7.5902 6.0427
angles: 51.09 51.09 90.00
Sites, in units of the cell vectors:
Sc: 0.5000 0.5000 0.0000
Sc: 0.2500 0.7500 0.5000
Li: 0.3750 0.3798 0.7500
Hf: 0.0000 0.0000 0.0000
Li: 0.8750 0.8702 0.7500
Hf: 0.7500 0.2500 0.5000
Li: 0.6202 0.1250 0.2500
Li: 0.1298 0.6250 0.2500


#ii
A plane-wave DFT calculation with PBE was carried out for an optimized crystal structure of Li2HfSc.

Properties
As for the space group: No. 225. The calculation puts the volume at 19.46 Å³/atom.

abc: 4.7929 4.7929 4.7929
angles: 60.00 60.00 60.00
Sites, in units of the cell vectors:
Li: 0.7500 0.7500 0.7500
Hf: 0.5000 0.5000 0.5000
Sc: 0.0000 0.0000 0.0000
Li: 0.2500 0.2500 0.2500


Relative calculated energies, zero for the most stable structure, unit meV/atom: #i 201; #ii 0.


#i
A plane-wave DFT calculation with PBE was carried out for an optimized crystal structure of LiHfSc3.

Properties
As for the space group: No. 221. The calculation puts the volume at 23.28 Å³/atom.

abc: 4.8825 4.8825 4.8825
angles: 90.00 90.00 90.00
Sites, in units of the cell vectors:
Sc: 0.0000 0.0000 0.5000
Sc: 0.0000 0.5000 0.0000
Hf: 0.5000 0.5000 0.5000
Li: 0.0000 0.0000 0.0000
Sc: 0.5000 0.0000 0.0000


#ii
A plane-wave DFT calculation with PBE was carried out for an optimized crystal structure of LiHfSc3.

Properties
As for the space group: No. 221. The calculation puts the volume at 30.01 Å³/atom.

abc: 5.3138 5.3138 5.3138
angles: 90.00 90.00 90.00
Sites, in units of the cell vectors:
Sc: 0.5000 0.0000 0.0000
Sc: 0.0000 0.5000 0.0000
Sc: 0.0000 0.0000 0.5000
Li: 0.5000 0.5000 0.5000
Hf: 0.0000 0.0000 0.0000


Relative calculated energies, zero for the most stable structure, unit meV/atom: #i 0; #ii 122.


#i
A plane-wave DFT calculation with PBE was carried out for an optimized crystal structure of Li2HfSe3.

Properties
As for the space group: No. 15. The calculation puts the volume at 20.46 Å³/atom.

abc: 6.6514 6.7158 6.7158
angles: 118.89 100.40 100.40
Sites, in units of the cell vectors:
Se: 0.4920 0.3385 0.1832
Hf: 0.7500 0.4156 0.5844
Se: 0.0000 0.5000 0.0000
Se: 0.9920 0.1832 0.3385
Se: 0.5000 0.0000 0.5000
Se: 0.5080 0.6615 0.8168
Se: 0.0080 0.8168 0.6615
Li: 0.7500 0.0873 0.9127
Hf: 0.2500 0.5844 0.4156
Li: 0.2500 0.2566 0.7434
Li: 0.7500 0.7434 0.2566
Li: 0.2500 0.9127 0.0873


#ii
A plane-wave DFT calculation with PBE was carried out for an optimized crystal structure of Li2HfSe3.

Properties
As for the space group: No. 12. The calculation puts the volume at 20.65 Å³/atom.

abc: 6.6912 6.7743 6.6887
angles: 80.48 59.99 70.68
Sites, in units of the cell vectors:
Hf: 0.6668 0.0000 0.6663
Se: 0.5749 0.2411 0.3446
Li: 0.1680 0.5000 0.6639
Hf: 0.3332 0.0000 0.3337
Se: 0.7355 0.7559 0.0000
Se: 0.4251 0.7589 0.6554
Se: 0.0805 0.7589 0.3446
Li: 0.0000 0.0000 0.0000
Se: 0.2645 0.2441 0.0000
Li: 0.8320 0.5000 0.3361
Se: 0.9195 0.2411 0.6554
Li: 0.5000 0.5000 0.0000


Relative calculated energies, zero for the most stable structure, unit meV/atom: #i 24; #ii 0.


#i
A plane-wave DFT calculation with PBE was carried out for an optimized crystal structure of Li2HfSe2.

Properties
As for the space group: No. 139. The calculation puts the volume at 16.48 Å³/atom.

abc: 3.5292 3.5292 7.0724
angles: 75.55 75.55 90.00
Sites, in units of the cell vectors:
Se: 0.6139 0.6139 0.7723
Li: 0.2500 0.7500 0.5000
Li: 0.7500 0.2500 0.5000
Hf: 0.0000 0.0000 0.0000
Se: 0.3861 0.3861 0.2277


#ii
A plane-wave DFT calculation with PBE was carried out for an optimized crystal structure of Li2HfSe2.

Properties
As for the space group: No. 127. The calculation puts the volume at 18.93 Å³/atom.

abc: 7.1662 7.1662 3.6854
angles: 90.00 90.00 90.00
Sites, in units of the cell vectors:
Li: 0.8565 0.3565 0.5000
Hf: 0.0000 0.0000 0.0000
Se: 0.6736 0.1736 0.0000
Hf: 0.5000 0.5000 0.0000
Li: 0.6435 0.8565 0.5000
Se: 0.1736 0.3264 0.0000
Se: 0.3264 0.8264 0.0000
Se: 0.8264 0.6736 0.0000
Li: 0.3565 0.1435 0.5000
Li: 0.1435 0.6435 0.5000


Relative calculated energies, zero for the most stable structure, unit meV/atom: #i 61; #ii 0.